Record 1
First-principles (PBE-GGA) data for a relaxed LiTb2DyTe5 crystal, as listed in the Alexandria database.

Structure (extended XYZ):
```
18
Lattice="4.331 0.000 0.000 -2.165 9.234 0.000 0.000 0.000 13.182" Properties=species:S:1:pos:R:3 pbc="T T T"
Li 2.165 1.047 12.701
Li 0.000 8.187 6.110
Tb 2.165 6.889 10.531
Tb 0.000 1.952 9.023
Tb 0.000 2.345 3.940
Tb 2.165 7.283 2.432
Dy 2.165 5.593 6.702
Dy 0.000 3.641 0.111
Te 0.000 6.702 13.163
Te 2.165 3.471 11.109
Te 0.000 9.190 10.319
Te 0.000 5.214 8.828
Te 2.165 8.386 7.578
Te 2.165 2.532 6.572
Te 0.000 5.764 4.518
Te 2.165 0.044 3.728
Te 2.165 4.020 2.237
Te 0.000 0.848 0.987
```

Properties
- Formation energy (no corrections): -11.21 eV/f.u.


Record 2
First-principles (PBE-GGA) data for a relaxed KMgAg2F6 crystal, as listed in the Alexandria database.

Structure (extended XYZ):
```
20
Lattice="-4.957 0.342 2.694 2.298 -3.403 4.659 2.766 7.220 3.909" Properties=species:S:1:pos:R:3 pbc="T T T"
K -2.478 0.171 1.347
K 2.532 1.908 4.284
Mg -1.095 3.781 3.301
Mg 1.149 -1.701 2.330
Ag 2.889 -1.152 5.551
Ag 0.901 3.951 7.042
Ag -2.781 5.311 5.712
Ag -0.793 0.208 4.221
F 0.200 -1.843 4.018
F -0.481 1.324 8.159
F -0.093 6.002 7.244
F 0.589 2.834 3.104
F 1.054 0.235 5.922
F -0.075 4.067 9.154
F -0.947 3.923 5.340
F 0.183 0.092 2.108
F -2.170 -0.448 6.000
F 2.220 2.209 7.678
F 2.277 4.606 5.262
F -2.112 1.950 3.584
```

Properties
- DOS(E_F): 0.3548 states/eV/atom
- Formation energy (no corrections): -21.37 eV/f.u.


Record 3
First-principles (PBE-GGA) data for a relaxed ErGaH crystal, as listed in the Alexandria database.

Structure (extended XYZ):
```
3
Lattice="3.083 0.000 0.000 0.000 3.083 0.000 -1.541 -1.541 5.403" Properties=species:S:1:pos:R:3 pbc="T T T"
H 0.000 0.000 2.934
Ga 0.000 0.000 0.041
Er 1.541 1.541 2.428
```

Properties
- DOS(E_F): 0.6744 states/eV/atom
- Energy relative to the lowest polymorph listed for this composition: 0.3404 eV per atom


Record 4
First-principles (PBE-GGA) data for a relaxed PmNi4Ru crystal, as listed in the Alexandria database.

Structure (extended XYZ):
```
6
Lattice="4.933 0.000 0.000 2.467 4.272 0.000 2.467 1.424 4.028" Properties=species:S:1:pos:R:3 pbc="T T T"
Ru 2.467 1.424 1.007
Ni 4.933 2.848 0.518
Ni 4.933 1.438 2.513
Ni 6.155 3.553 2.513
Ni 3.712 3.553 2.513
Pm 0.000 0.000 0.000
```

Properties
- DOS(E_F): 1.4741 states/eV/atom
- Formation energy: -0.0292 eV per atom


Record 5
First-principles (PBE-GGA) data for a relaxed CoTc2RuN crystal, as listed in the Alexandria database.

Structure (extended XYZ):
```
5
Lattice="3.998 0.000 0.000 0.000 3.998 0.000 0.000 0.000 3.825" Properties=species:S:1:pos:R:3 pbc="T T T"
Ru 1.999 1.999 1.913
Co 0.000 0.000 1.913
Tc 0.000 1.999 0.000
Tc 1.999 0.000 0.000
N 0.000 0.000 0.000
```

Properties
- DOS(E_F): 1.2926 states/eV/atom
- Formation energy (no corrections): 0.82 eV/f.u.


Record 6
First-principles (PBE-GGA) data for a relaxed Li2Ca6Hg crystal, as listed in the Alexandria database.

Structure (extended XYZ):
```
9
Lattice="5.205 0.000 1.733 2.603 6.669 0.865 0.005 0.002 8.667" Properties=species:S:1:pos:R:3 pbc="T T T"
Li 3.023 3.336 8.287
Li 4.790 3.335 2.978
Ca 5.667 1.396 9.027
Ca 2.146 1.395 2.239
Ca 5.668 5.276 9.026
Ca 3.907 5.185 5.632
Ca 3.906 1.486 5.633
Ca 2.146 5.274 2.238
Hg 1.304 3.335 4.766
```

Properties
- DOS(E_F): 1.1998 states/eV/atom
- Energy relative to the lowest polymorph listed for this composition: 0.0000 eV per atom
- Formation energy: -0.1231 eV per atom


Record 7
First-principles (PBE-GGA) data for a relaxed EuDyCuAu crystal, as listed in the Alexandria database.

Structure (extended XYZ):
```
4
Lattice="-4.523 -0.160 2.361 -0.229 -0.914 5.017 -1.334 3.733 3.216" Properties=species:S:1:pos:R:3 pbc="T T T"
Eu -3.043 1.330 5.297
Au -4.565 1.995 7.945
Cu -1.522 0.665 2.648
Dy 0.000 0.000 0.000
```

Properties
- DOS(E_F): 2.0545 states/eV/atom
- Formation energy: -0.4521 eV per atom


Record 8
First-principles (PBE-GGA) data for a relaxed Ca6RhAu2N crystal, as listed in the Alexandria database.

Structure (extended XYZ):
```
20
Lattice="-3.100 -5.073 3.216 6.453 -1.677 3.574 -2.733 5.731 7.622" Properties=species:S:1:pos:R:3 pbc="T T T"
Ca 3.242 -2.378 3.735
Ca 1.377 -2.323 9.736
Ca -2.622 1.359 10.678
Ca -0.757 1.303 4.676
Ca 2.290 -0.382 7.027
Ca -0.088 -0.193 12.744
Ca -1.670 -0.638 7.386
Ca 0.708 -0.827 1.669
Ca 0.063 -4.015 6.523
Ca 3.058 0.656 10.283
Ca 0.557 2.995 7.890
Ca -2.438 -1.676 4.130
Rh -1.550 -2.537 1.608
Rh 1.860 2.027 5.598
Au 4.977 -0.323 5.310
Au 0.095 0.517 9.640
Au -4.357 -0.697 9.103
Au 0.525 -1.537 4.773
N -2.916 0.329 5.419
N 3.226 -0.839 1.787
```

Properties
- DOS(E_F): 0.4419 states/eV/atom
- Formation energy (no corrections): -6.10 eV/f.u.


Record 9
First-principles (PBE-GGA) data for a relaxed KCr2P2 crystal, as listed in the Alexandria database.

Structure (extended XYZ):
```
10
Lattice="-5.211 -3.374 -5.037 4.167 -6.817 0.256 -1.576 -0.880 2.220" Properties=species:S:1:pos:R:3 pbc="T T T"
Cr 1.204 -4.737 0.821
Cr -0.044 -8.644 -1.613
Cr -3.824 -6.334 -3.382
Cr -2.576 -2.427 -0.947
K 0.000 0.000 0.000
K -0.522 -5.096 -2.390
P 1.718 -6.977 -1.546
P -1.722 -7.299 -4.115
P -2.762 -3.214 -3.235
P 0.678 -2.893 -0.665
```

Properties
- DOS(E_F): 0.6816 states/eV/atom
- Formation energy: 0.1497 eV per atom


Record 10
First-principles (PBE-GGA) data for a relaxed AcLaNb2O8 crystal, as listed in the Alexandria database.

Structure (extended XYZ):
```
12
Lattice="5.504 0.000 0.000 0.000 5.504 0.000 -2.752 -2.752 5.977" Properties=species:S:1:pos:R:3 pbc="T T T"
Ac 2.752 0.000 2.989
La 0.000 0.000 0.000
Nb 2.752 2.752 0.000
Nb 0.000 2.752 2.989
O 3.636 4.099 0.994
O 1.869 1.406 0.994
O 1.359 1.925 4.017
O -1.359 3.579 4.017
O -0.827 1.394 1.960
O 0.827 4.111 1.960
O -1.347 0.884 4.983
O 1.347 -0.884 4.983
```

Properties
- DOS(E_F): 0.0000 states/eV/atom
- Formation energy (no corrections): -37.11 eV/f.u.


Record 11
First-principles (PBE-GGA) data for a relaxed CdGe6Pd12 crystal, as listed in the Alexandria database.

Structure (extended XYZ):
```
19
Lattice="-3.491 -6.107 1.970 5.685 -2.029 -4.115 2.731 2.954 6.098" Properties=species:S:1:pos:R:3 pbc="T T T"
Cd 0.000 0.000 0.000
Ge -0.199 -4.000 1.894
Ge 2.479 -0.100 3.670
Ge 3.750 -2.245 -0.725
Ge 2.446 -5.082 0.282
Ge 5.124 -1.182 2.059
Ge 1.174 -2.937 4.678
Pd -0.983 -4.122 4.261
Pd 2.057 -4.588 2.834
Pd 3.599 -2.343 3.857
Pd 0.593 -1.604 2.627
Pd 1.325 -2.839 0.096
Pd 2.867 -0.594 1.119
Pd 4.798 0.811 3.526
Pd 3.571 -4.462 -1.858
Pd 5.907 -1.060 -0.308
Pd 0.126 -5.993 0.427
Pd 1.353 -0.720 5.811
Pd 4.331 -3.578 1.326
```

Properties
- DOS(E_F): 0.4035 states/eV/atom
- Formation energy: -0.3700 eV per atom


Record 12
First-principles (PBE-GGA) data for a relaxed U2Si2Au crystal, as listed in the Alexandria database.

Structure (extended XYZ):
```
10
Lattice="4.112 0.000 0.000 2.056 4.948 0.941 0.001 0.058 9.321" Properties=species:S:1:pos:R:3 pbc="T T T"
U 2.056 4.350 4.550
U 4.112 1.793 9.376
U 4.112 0.657 5.712
U 2.056 3.213 0.886
Si 4.112 3.640 6.514
Si 4.112 4.838 8.826
Si 2.056 1.367 3.747
Si 2.056 0.168 1.436
Au 2.056 2.400 7.159
Au 4.112 2.606 3.103
```

Properties
- DOS(E_F): 1.5039 states/eV/atom
- Formation energy (no corrections): -1.29 eV/f.u.


Number 1: spin magnetization 0.0 μB/f.u.. Number 2: spin magnetization 1.0 μB/f.u.. Number 3: spin magnetization 0.0 μB/f.u.. Number 4: spin magnetization 3.1 μB/f.u.. Number 5: spin magnetization 0.0 μB/f.u.. Number 6: spin magnetization 0.0 μB/f.u.. Number 7: spin magnetization 7.0 μB/f.u.. Number 8: spin magnetization 0.0 μB/f.u.. Number 9: spin magnetization 0.0 μB/f.u.. Number 10: spin magnetization 0.0 μB/f.u.. Number 11: spin magnetization 0.0 μB/f.u.. Number 12: spin magnetization 0.3 μB/f.u..